A relaxed structure of AlSNCl2. Source: the Alexandria database, functional GGA-PBE.

a = 4.2289 Å, b = 4.2289 Å, c = 4.6193 Å
α = 90.00°, β = 90.00°, γ = 90.00°
With the nearest neighbours (Å) after each atom.
Fractional coordinates of all 5 atoms:
Al 0.0000 0.0000 0.0000  4 S 2.99, 8 Cl 3.13
S 0.5000 0.5000 0.0000  2 N 2.31
N 0.5000 0.5000 0.5000  4 Cl 2.11, 2 S 2.31
Cl 0.0000 0.5000 0.5000  2 N 2.11
Cl 0.5000 0.0000 0.5000  2 N 2.11

Summary:
Energy relative to the elements, uncorrected = 0.83 eV/atom
Volume = 16.52 A^3/atom
Calculated density = 2.89 g/cm³
SG = P4/mmm (123)
N(E_F) = 0.37 states/eV/atom

***

A relaxed structure of AlSN2Cl. Source: the Alexandria database, functional GGA-PBE.

a = 3.5690 Å, b = 3.5690 Å, c = 6.5864 Å
α = 90.00°, β = 90.00°, γ = 90.00°
With the nearest neighbours (Å) after each atom.
Fractional coordinates of all 5 atoms:
Al 0.0000 0.0000 0.0000  4 S 2.52
S 0.5000 0.5000 0.0000  4 Al 2.52
N 0.0000 0.5000 0.5000  2 Cl 1.78
N 0.5000 0.0000 0.5000  2 Cl 1.78
Cl 0.5000 0.5000 0.5000  4 N 1.78

Summary:
Energy relative to the elements, uncorrected = 1.83 eV/atom
Volume = 16.78 A^3/atom
Calculated density = 2.42 g/cm³
SG = P4/mmm (123)
N(E_F) = 0.42 states/eV/atom

***

A relaxed structure of AlS2NCl. Source: the Alexandria database, functional GGA-PBE.

a = 4.8198 Å, b = 4.8198 Å, c = 3.6325 Å
α = 90.00°, β = 90.00°, γ = 90.00°
With the nearest neighbours (Å) after each atom.
Fractional coordinates of all 5 atoms:
Al 0.0000 0.0000 0.0000  2 N 1.82
S 0.0000 0.5000 0.0000  2 Al 2.41
S 0.5000 0.0000 0.0000  2 Al 2.41
N 0.0000 0.0000 0.5000  2 Al 1.82
Cl 0.5000 0.5000 0.5000  8 S 3.02

Summary:
Energy relative to the elements, uncorrected = 0.67 eV/atom
Volume = 16.88 A^3/atom
Calculated density = 2.77 g/cm³
SG = P4/mmm (123)
N(E_F) = 1.23 states/eV/atom

***

A relaxed structure of AlSN2Cl. Source: the Alexandria database, functional GGA-PBE.

a = 3.6276 Å, b = 3.6276 Å, c = 6.2462 Å
α = 90.00°, β = 90.00°, γ = 90.00°
With the nearest neighbours (Å) after each atom.
Fractional coordinates of all 5 atoms:
Al 0.0000 0.0000 0.0000  4 N 1.81
S 0.0000 0.0000 0.5000  4 Cl 2.57
N 0.0000 0.5000 0.0000  2 Al 1.81
N 0.5000 0.0000 0.0000  2 Al 1.81
Cl 0.5000 0.5000 0.5000  4 S 2.57

Summary:
Energy relative to the elements, uncorrected = 0.97 eV/atom
Volume = 16.44 A^3/atom
Calculated density = 2.47 g/cm³
SG = P4/mmm (123)
N(E_F) = 0.87 states/eV/atom

***

A relaxed structure of AlSNCl2. Source: the Alexandria database, functional GGA-PBE.

a = 4.7926 Å, b = 4.7926 Å, c = 4.6276 Å
α = 90.00°, β = 90.00°, γ = 90.00°
With the nearest neighbours (Å) after each atom.
Fractional coordinates of all 5 atoms:
Al 0.0000 0.0000 0.0000  2 S 2.31, 4 Cl 2.40
S 0.0000 0.0000 0.5000  2 Al 2.31
N 0.5000 0.5000 0.5000  8 Cl 3.33, 4 S 3.39
Cl 0.0000 0.5000 0.0000  2 Al 2.40
Cl 0.5000 0.0000 0.0000  2 Al 2.40

Summary:
Energy relative to the elements, uncorrected = 0.55 eV/atom
Volume = 21.26 A^3/atom
Calculated density = 2.25 g/cm³
SG = P4/mmm (123)
N(E_F) = 0.84 states/eV/atom

***

A relaxed structure of AlS2NCl. Source: the Alexandria database, functional GGA-PBE.

a = 4.6480 Å, b = 4.6480 Å, c = 4.7860 Å
α = 90.00°, β = 90.00°, γ = 90.00°
With the nearest neighbours (Å) after each atom.
Fractional coordinates of all 5 atoms:
Al 0.0000 0.0000 0.0000  4 S 2.32, 2 Cl 2.39
S 0.0000 0.5000 0.0000  2 Al 2.32
S 0.5000 0.0000 0.0000  2 Al 2.32
N 0.5000 0.5000 0.5000  4 Cl 3.29, 8 S 3.34
Cl 0.0000 0.0000 0.5000  2 Al 2.39

Summary:
Energy relative to the elements, uncorrected = 0.89 eV/atom
Volume = 20.68 A^3/atom
Calculated density = 2.26 g/cm³
SG = P4/mmm (123)
N(E_F) = 0.75 states/eV/atom

***

A relaxed structure of AlS2NCl. Source: the Alexandria database, functional GGA-PBE.

a = 4.8027 Å, b = 4.8027 Å, c = 3.6956 Å
α = 90.00°, β = 90.00°, γ = 90.00°
With the nearest neighbours (Å) after each atom.
Fractional coordinates of all 5 atoms:
Al 0.0000 0.0000 0.0000  8 S 3.03
S 0.0000 0.5000 0.5000  2 Cl 2.40
S 0.5000 0.0000 0.5000  2 Cl 2.40
N 0.5000 0.5000 0.0000  2 Cl 1.85
Cl 0.5000 0.5000 0.5000  2 N 1.85

Summary:
Energy relative to the elements, uncorrected = 1.46 eV/atom
Volume = 17.05 A^3/atom
Calculated density = 2.74 g/cm³
SG = P4/mmm (123)
N(E_F) = 0.47 states/eV/atom

***

A relaxed structure of Al2SbNCl. Source: the Alexandria database, functional GGA-PBE.

a = 4.5002 Å, b = 4.5002 Å, c = 4.1946 Å
α = 90.00°, β = 90.00°, γ = 90.00°
With the nearest neighbours (Å) after each atom.
Fractional coordinates of all 5 atoms:
Al 0.0000 0.5000 0.0000  2 N 2.25
Al 0.5000 0.0000 0.0000  2 N 2.25
Sb 0.0000 0.0000 0.5000  8 Al 3.08, 4 Cl 3.18
N 0.5000 0.5000 0.0000  2 Cl 2.10, 4 Al 2.25
Cl 0.5000 0.5000 0.5000  2 N 2.10

Summary:
Energy relative to the elements, uncorrected = 0.40 eV/atom
Volume = 16.99 A^3/atom
Calculated density = 4.40 g/cm³
SG = P4/mmm (123)
N(E_F) = 0.32 states/eV/atom

***

A relaxed structure of AlSe2NCl. Source: the Alexandria database, functional GGA-PBE.

a = 5.4960 Å, b = 5.4960 Å, c = 3.3170 Å
α = 90.00°, β = 90.00°, γ = 90.00°
With the nearest neighbours (Å) after each atom.
Fractional coordinates of all 5 atoms:
Al 0.0000 0.0000 0.0000  8 Se 3.21, 2 Al 3.32
Se 0.0000 0.5000 0.5000  2 Cl 2.75
Se 0.5000 0.0000 0.5000  2 Cl 2.75
N 0.5000 0.5000 0.0000  2 Cl 1.66
Cl 0.5000 0.5000 0.5000  2 N 1.66

Summary:
Energy relative to the elements, uncorrected = 1.35 eV/atom
Volume = 20.04 A^3/atom
Calculated density = 3.88 g/cm³
SG = P4/mmm (123)
N(E_F) = 0.50 states/eV/atom

***

A relaxed structure of AlSeN2Cl. Source: the Alexandria database, functional GGA-PBE.

a = 3.9517 Å, b = 3.9517 Å, c = 4.9191 Å
α = 90.00°, β = 90.00°, γ = 90.00°
With the nearest neighbours (Å) after each atom.
Fractional coordinates of all 5 atoms:
Al 0.0000 0.0000 0.0000  4 Se 2.79
Se 0.5000 0.5000 0.0000  2 Cl 2.46
N 0.0000 0.5000 0.5000  2 Cl 1.98
N 0.5000 0.0000 0.5000  2 Cl 1.98
Cl 0.5000 0.5000 0.5000  4 N 1.98

Summary:
Energy relative to the elements, uncorrected = 2.01 eV/atom
Volume = 15.36 A^3/atom
Calculated density = 3.66 g/cm³
SG = P4/mmm (123)
N(E_F) = 0.51 states/eV/atom

***

A relaxed structure of AlSe2NCl. Source: the Alexandria database, functional GGA-PBE.

a = 5.2120 Å, b = 5.2120 Å, c = 3.5309 Å
α = 90.00°, β = 90.00°, γ = 90.00°
With the nearest neighbours (Å) after each atom.
Fractional coordinates of all 5 atoms:
Al 0.0000 0.0000 0.0000  2 N 1.77
Se 0.0000 0.5000 0.0000  2 Al 2.61
Se 0.5000 0.0000 0.0000  2 Al 2.61
N 0.0000 0.0000 0.5000  2 Al 1.77
Cl 0.5000 0.5000 0.5000  8 Se 3.15

Summary:
Energy relative to the elements, uncorrected = 0.51 eV/atom
Volume = 19.18 A^3/atom
Calculated density = 4.06 g/cm³
SG = P4/mmm (123)
N(E_F) = 1.04 states/eV/atom

***

A relaxed structure of AlSeN2Cl. Source: the Alexandria database, functional GGA-PBE.

a = 3.7237 Å, b = 3.7237 Å, c = 5.9768 Å
α = 90.00°, β = 90.00°, γ = 90.00°
With the nearest neighbours (Å) after each atom.
Fractional coordinates of all 5 atoms:
Al 0.0000 0.0000 0.0000  4 N 1.86
Se 0.0000 0.0000 0.5000  4 Cl 2.63
N 0.0000 0.5000 0.0000  2 Al 1.86
N 0.5000 0.0000 0.0000  2 Al 1.86
Cl 0.5000 0.5000 0.5000  4 Se 2.63

Summary:
Energy relative to the elements, uncorrected = 0.85 eV/atom
Volume = 16.57 A^3/atom
Calculated density = 3.39 g/cm³
SG = P4/mmm (123)
N(E_F) = 0.70 states/eV/atom